CeZnInRu | PBE | optimized geometry

Geometry as POSCAR:
```
CeZnInRu
1.0
4.820 0.000 0.000
2.410 4.174 0.000
2.410 1.391 3.935
Ru In Ce Zn
1 1 1 1
direct
0.000 0.000 0.000
0.750 0.750 0.750
0.250 0.250 0.250
0.500 0.500 0.500
```

## Properties
E   -19.87 eV per cell
Space-group type   F-43m (216)